{
  "formula": "AlCdNiF6",
  "functional": "GGA+U",
  "state": "relaxed",
  "lattice": [[-3.195, 2.673, -3.511], [-2.012, -4.154, 2.895], [-2.324, 5.535, 6.329]],
  "species": ["F", "F", "F", "F", "F", "F", "F", "F", "F", "F", "F", "F", "Cd", "Cd", "Al", "Al", "Ni", "Ni"],
  "frac_coords": [[0.368, 0.087, 0.124], [0.281, 0.368, 0.876], [0.719, 0.087, 0.376], [0.281, 0.913, 0.624], [0.913, 0.281, 0.124], [0.368, 0.281, 0.376], [0.913, 0.632, 0.376], [0.632, 0.913, 0.876], [0.632, 0.719, 0.624], [0.719, 0.632, 0.124], [0.087, 0.719, 0.876], [0.087, 0.368, 0.624], [0.333, 0.667, 0.250], [0.667, 0.333, 0.750], [0.333, 0.667, 0.750], [0.667, 0.333, 0.250], [0.000, 0.000, 0.000], [0.000, 0.000, 0.500]],
  "space_group": "P-31c (163)",
  "dft_energy_ev_per_atom": -4.48
}